1.
InCu2Hg after structural relaxation, computed with PBE-GGA.

Cell: 6.538 6.538 6.538 Å, 90.00 90.00 90.00°
Atoms (fractional coordinates):
In: 0.000 0.000 0.000
In: 0.000 0.500 0.500
In: 0.500 0.000 0.500
In: 0.500 0.500 0.000
Cu: 0.000 0.000 0.500
Cu: 0.000 0.500 0.000
Cu: 0.250 0.250 0.250
Cu: 0.250 0.750 0.750
Cu: 0.500 0.000 0.000
Cu: 0.500 0.500 0.500
Cu: 0.750 0.250 0.750
Cu: 0.750 0.750 0.250
Hg: 0.250 0.250 0.750
Hg: 0.250 0.750 0.250
Hg: 0.750 0.250 0.250
Hg: 0.750 0.750 0.750

Properties
energy above the lowest structure with this stoichiometry: 127 meV/atom
calculated formation energy: 0.257 eV per atom
final energy: -2.551 eV/atom

***

2.
InCu2Hg after structural relaxation, computed with PBE-GGA.

Cell: 6.500 6.500 6.500 Å, 90.00 90.00 90.00°
Atoms (fractional coordinates):
In: 0.000 0.000 0.000
In: 0.000 0.500 0.500
In: 0.500 0.000 0.500
In: 0.500 0.500 0.000
Cu: 0.250 0.250 0.250
Cu: 0.250 0.250 0.750
Cu: 0.250 0.750 0.250
Cu: 0.250 0.750 0.750
Cu: 0.750 0.250 0.250
Cu: 0.750 0.250 0.750
Cu: 0.750 0.750 0.250
Cu: 0.750 0.750 0.750
Hg: 0.000 0.000 0.500
Hg: 0.000 0.500 0.000
Hg: 0.500 0.000 0.000
Hg: 0.500 0.500 0.500

Properties
energy above the lowest structure with this stoichiometry: 29 meV/atom
calculated formation energy: 0.159 eV per atom
final energy: -2.649 eV/atom

***

3.
In2CuHg after structural relaxation, computed with PBE-GGA.

Cell: 9.751 3.247 6.402 Å, 90.00 114.50 90.00°
Atoms (fractional coordinates):
In: 0.000 0.000 0.000
In: 0.177 0.000 0.605
In: 0.500 0.500 0.000
In: 0.677 0.500 0.605
Cu: 0.215 0.500 0.971
Cu: 0.715 0.000 0.971
Hg: 0.373 0.000 0.359
Hg: 0.873 0.500 0.359

Properties
calculated formation energy: 0.078 eV per atom
final energy: -2.391 eV/atom

***

4.
In2CuHg after structural relaxation, computed with PBE-GGA.

Cell: 8.780 8.780 5.220 Å, 90.00 90.00 90.00°
Atoms (fractional coordinates):
In: 0.160 0.250 0.125
In: 0.250 0.660 0.375
In: 0.250 0.840 0.875
In: 0.340 0.250 0.625
In: 0.660 0.750 0.625
In: 0.750 0.160 0.875
In: 0.750 0.340 0.375
In: 0.840 0.750 0.125
Cu: 0.000 0.000 0.000
Cu: 0.000 0.500 0.250
Cu: 0.500 0.000 0.750
Cu: 0.500 0.500 0.500
Hg: 0.000 0.000 0.500
Hg: 0.000 0.500 0.750
Hg: 0.500 0.000 0.250
Hg: 0.500 0.500 0.000

Properties
calculated formation energy: 0.140 eV per atom
final energy: -2.328 eV/atom